# TbPuMgIn (PBE, relaxed)
# Formation energy from the elements ... -0.48 eV per formula unit
# Calculated total energy ... -5.944 eV per atom
# Volume ... 27.1 Å³/atom
# Total magnetic moment ... 6.3 μB per formula unit
data_TbPuMgIn
_cell_length_a 7.569
_cell_length_b 7.569
_cell_length_c 7.569
_cell_angle_alpha 90.00
_cell_angle_beta 90.00
_cell_angle_gamma 90.00
_space_group_name_H-M_alt 'F -4 3 m'
_space_group_IT_number 216
_space_group_name_Hall 'F -4 2 3'
loop_
_atom_site_label
_atom_site_type_symbol
_atom_site_fract_x
_atom_site_fract_y
_atom_site_fract_z
Tb1 Tb 0.000 0.000 0.000
Pu1 Pu 0.000 0.000 0.500
Mg1 Mg 0.250 0.250 0.750
In1 In 0.250 0.250 0.250

***

# PuMgTlIn (PBE, relaxed)
# Formation energy from the elements ... -0.41 eV per formula unit
# Calculated total energy ... -5.361 eV per atom
# Volume ... 25.7 Å³/atom
# Total magnetic moment ... 5.8 μB per formula unit
data_PuMgTlIn
_cell_length_a 7.441
_cell_length_b 7.441
_cell_length_c 7.441
_cell_angle_alpha 90.00
_cell_angle_beta 90.00
_cell_angle_gamma 90.00
_space_group_name_H-M_alt 'F -4 3 m'
_space_group_IT_number 216
_space_group_name_Hall 'F -4 2 3'
loop_
_atom_site_label
_atom_site_type_symbol
_atom_site_fract_x
_atom_site_fract_y
_atom_site_fract_z
Pu1 Pu 0.000 0.000 0.000
Mg1 Mg 0.000 0.000 0.500
Tl1 Tl 0.250 0.250 0.250
In1 In 0.250 0.250 0.750

***

# TmPuMgIn (PBE, relaxed)
# Formation energy from the elements ... -0.45 eV per formula unit
# Calculated total energy ... -5.897 eV per atom
# Volume ... 26.4 Å³/atom
# Total magnetic moment ... 6.2 μB per formula unit
data_TmPuMgIn
_cell_length_a 7.507
_cell_length_b 7.507
_cell_length_c 7.507
_cell_angle_alpha 90.00
_cell_angle_beta 90.00
_cell_angle_gamma 90.00
_space_group_name_H-M_alt 'F -4 3 m'
_space_group_IT_number 216
_space_group_name_Hall 'F -4 2 3'
loop_
_atom_site_label
_atom_site_type_symbol
_atom_site_fract_x
_atom_site_fract_y
_atom_site_fract_z
Tm1 Tm 0.000 0.000 0.000
Pu1 Pu 0.000 0.000 0.500
Mg1 Mg 0.250 0.250 0.250
In1 In 0.250 0.250 0.750

***

# YPuMgIn (PBE, relaxed)
# Formation energy from the elements ... -0.53 eV per formula unit
# Calculated total energy ... -6.416 eV per atom
# Volume ... 27.0 Å³/atom
# Total magnetic moment ... 6.3 μB per formula unit
data_YPuMgIn
_cell_length_a 7.563
_cell_length_b 7.563
_cell_length_c 7.563
_cell_angle_alpha 90.00
_cell_angle_beta 90.00
_cell_angle_gamma 90.00
_space_group_name_H-M_alt 'F -4 3 m'
_space_group_IT_number 216
_space_group_name_Hall 'F -4 2 3'
loop_
_atom_site_label
_atom_site_type_symbol
_atom_site_fract_x
_atom_site_fract_y
_atom_site_fract_z
Y1 Y 0.000 0.000 0.000
Pu1 Pu 0.000 0.000 0.500
Mg1 Mg 0.250 0.250 0.750
In1 In 0.250 0.250 0.250

***

# PuMgZnIn (PBE, relaxed)
# Formation energy from the elements ... -0.48 eV per formula unit
# Calculated total energy ... -5.104 eV per atom
# Volume ... 22.9 Å³/atom
# Total magnetic moment ... 5.5 μB per formula unit
data_PuMgZnIn
_cell_length_a 7.151
_cell_length_b 7.151
_cell_length_c 7.151
_cell_angle_alpha 90.00
_cell_angle_beta 90.00
_cell_angle_gamma 90.00
_space_group_name_H-M_alt 'F -4 3 m'
_space_group_IT_number 216
_space_group_name_Hall 'F -4 2 3'
loop_
_atom_site_label
_atom_site_type_symbol
_atom_site_fract_x
_atom_site_fract_y
_atom_site_fract_z
Pu1 Pu 0.000 0.000 0.000
Mg1 Mg 0.000 0.000 0.500
Zn1 Zn 0.250 0.250 0.750
In1 In 0.250 0.250 0.250

***

# RbMg2In3 (PBE, relaxed)
# Formation energy from the elements ... -0.54 eV per formula unit
# Calculated total energy ... -2.152 eV per atom
# Volume ... 30.7 Å³/atom
# Total magnetic moment ... 0.0 μB per formula unit
data_RbMg2In3
_cell_length_a 12.427
_cell_length_b 9.799
_cell_length_c 6.047
_cell_angle_alpha 90.00
_cell_angle_beta 90.00
_cell_angle_gamma 90.00
_space_group_name_H-M_alt 'C m c m'
_space_group_IT_number 63
_space_group_name_Hall '-C 2c 2'
loop_
_atom_site_label
_atom_site_type_symbol
_atom_site_fract_x
_atom_site_fract_y
_atom_site_fract_z
Rb1 Rb 0.000 0.160 0.250
Mg1 Mg 0.213 0.500 0.000
In1 In 0.000 0.431 0.750
In2 In 0.190 0.230 0.750